A plane-wave DFT calculation with PBE-GGA was carried out for a relaxed structure of NpURe.

abc: 4.3797 4.3797 4.3797
angles: 60.00 60.00 60.00
Positions (direct):
1 U 0.7500 0.7500 0.7500
2 Np 0.0000 0.0000 0.0000
3 Re 0.2500 0.2500 0.2500

Energy of formation from the pure elements   121.6 kJ/mol of formula units
SG   No. 216